A relaxed structure of LiNiO. Source: Alexandria via LeMat-Bulk, functional PBE with a Hubbard U.

Properties
Spin magnetization = 2.00 μB/cell
D(E_F) = 0.78 states/eV per cell
VASP energy = -23.9 eV/cell

a b c (Å): 4.818 2.865 4.648
angles (deg): 90.00 90.00 90.00
Fractional positions:
Li 0.000 0.000 0.000
Li 0.500 0.000 0.000
Ni 0.000 0.500 0.500
Ni 0.500 0.500 0.500
O 0.250 0.500 0.187
O 0.750 0.500 0.813